1.
# Ca3Sn2Ge3O12, relaxed, DFT PBE
# Symmetry: No. 230
# Crystal system: cubic
# Formation energy from raw total energies in eV per atom: -2.052
data_Ca3Sn2Ge3O12
_chemical_formula_sum 'Ca12 Sn8 Ge12 O48'
_space_group_name_H-M_alt 'P 1'
_space_group_IT_number 1
_cell_length_a 11.170
_cell_length_b 11.170
_cell_length_c 11.170
_cell_angle_alpha 109.47
_cell_angle_beta 109.47
_cell_angle_gamma 109.47
loop_
_space_group_symop_operation_xyz
'x,y,z'
loop_
_atom_site_label
_atom_site_fract_x
_atom_site_fract_y
_atom_site_fract_z
Ca1 0.125 0.250 0.375
Ca2 0.125 0.375 0.750
Ca3 0.250 0.375 0.125
Ca4 0.250 0.875 0.625
Ca5 0.375 0.125 0.250
Ca6 0.375 0.750 0.125
Ca7 0.625 0.250 0.875
Ca8 0.625 0.875 0.750
Ca9 0.750 0.125 0.375
Ca10 0.750 0.625 0.875
Ca11 0.875 0.625 0.250
Ca12 0.875 0.750 0.625
Sn1 0.000 0.000 0.000
Sn2 0.000 0.000 0.500
Sn3 0.000 0.500 0.000
Sn4 0.000 0.500 0.500
Sn5 0.500 0.000 0.000
Sn6 0.500 0.000 0.500
Sn7 0.500 0.500 0.000
Sn8 0.500 0.500 0.500
Ge1 0.125 0.750 0.875
Ge2 0.125 0.875 0.250
Ge3 0.250 0.125 0.875
Ge4 0.250 0.625 0.375
Ge5 0.375 0.250 0.625
Ge6 0.375 0.625 0.750
Ge7 0.625 0.375 0.250
Ge8 0.625 0.750 0.375
Ge9 0.750 0.375 0.625
Ge10 0.750 0.875 0.125
Ge11 0.875 0.125 0.750
Ge12 0.875 0.250 0.125
O1 0.022 0.215 0.125
O2 0.022 0.307 0.897
O3 0.090 0.715 0.693
O4 0.090 0.875 0.397
O5 0.103 0.625 0.410
O6 0.103 0.978 0.693
O7 0.125 0.022 0.215
O8 0.125 0.603 0.910
O9 0.193 0.215 0.590
O10 0.193 0.478 0.603
O11 0.215 0.125 0.022
O12 0.215 0.590 0.193
O13 0.285 0.307 0.910
O14 0.285 0.478 0.375
O15 0.307 0.897 0.022
O16 0.307 0.910 0.285
O17 0.375 0.285 0.478
O18 0.375 0.590 0.897
O19 0.397 0.090 0.875
O20 0.397 0.807 0.522
O21 0.410 0.103 0.625
O22 0.410 0.807 0.785
O23 0.478 0.375 0.285
O24 0.478 0.603 0.193
O25 0.522 0.397 0.807
O26 0.522 0.625 0.715
O27 0.590 0.193 0.215
O28 0.590 0.897 0.375
O29 0.603 0.193 0.478
O30 0.603 0.910 0.125
O31 0.625 0.410 0.103
O32 0.625 0.715 0.522
O33 0.693 0.090 0.715
O34 0.693 0.103 0.978
O35 0.715 0.522 0.625
O36 0.715 0.693 0.090
O37 0.785 0.410 0.807
O38 0.785 0.875 0.978
O39 0.807 0.522 0.397
O40 0.807 0.785 0.410
O41 0.875 0.397 0.090
O42 0.875 0.978 0.785
O43 0.897 0.022 0.307
O44 0.897 0.375 0.590
O45 0.910 0.125 0.603
O46 0.910 0.285 0.307
O47 0.978 0.693 0.103
O48 0.978 0.785 0.875

---

2.
# SrCaGeO4, relaxed, DFT PBE
# Symmetry: No. 74
# Crystal system: orthorhombic
# Formation energy from raw total energies in eV per atom: -2.331
data_SrCaGeO4
_chemical_formula_sum 'Sr2 Ca2 Ge2 O8'
_space_group_name_H-M_alt 'P 1'
_space_group_IT_number 1
_cell_length_a 6.573
_cell_length_b 6.573
_cell_length_c 6.573
_cell_angle_alpha 120.56
_cell_angle_beta 119.26
_cell_angle_gamma 90.16
loop_
_space_group_symop_operation_xyz
'x,y,z'
loop_
_atom_site_label
_atom_site_fract_x
_atom_site_fract_y
_atom_site_fract_z
Sr1 0.500 0.000 0.000
Sr2 0.500 0.500 0.500
Ca1 0.000 0.000 0.000
Ca2 0.500 0.000 0.500
Ge1 0.120 0.370 0.750
Ge2 0.880 0.630 0.250
O1 0.215 0.744 0.471
O2 0.227 0.256 0.971
O3 0.233 0.253 0.520
O4 0.233 0.713 0.980
O5 0.767 0.287 0.020
O6 0.767 0.747 0.480
O7 0.773 0.744 0.029
O8 0.785 0.256 0.529